Entry 1:
A plane-wave DFT calculation with PBE was carried out for MnNbTc2 after structural relaxation.

Properties
DFT formation energy	-0.0929	eV/atom
final energy	-0.3706	Ha/atom
symmetry	P4/mmm, No. 123
Fermi-level density of states	3.7	states/eV/f.u.
density	9.5	g/cm3

Unit cell a=4.3546 b=4.3546 c=3.1752 alpha=90.00 beta=90.00 gamma=90.00
With the nearest neighbours (Å) after each atom.
Element x y z (fractional)
Mn: 0.0000 0.0000 0.0000  8 Tc 2.69
Nb: 0.5000 0.5000 0.0000  8 Tc 2.69
Tc: 0.0000 0.5000 0.5000  4 Nb 2.69, 4 Mn 2.69
Tc: 0.5000 0.0000 0.5000  4 Nb 2.69, 4 Mn 2.69

Entry 2:
A plane-wave DFT calculation with PBE was carried out for Co2OsPt after structural relaxation.

Properties
DFT formation energy	0.3267	eV/atom
final energy	-0.2772	Ha/atom
symmetry	Immm, No. 71
Fermi-level density of states	6.8	states/eV/f.u.
density	15.3	g/cm3

Unit cell a=5.1673 b=5.1673 c=5.1673 alpha=149.98 beta=126.88 gamma=62.23
With the nearest neighbours (Å) after each atom.
Element x y z (fractional)
Co: 0.2440 0.2440 0.0000  2 Os 2.54, 2 Pt 2.63, 6 Co 2.67-2.68
Co: 0.7560 0.7560 0.0000  2 Os 2.54, 2 Pt 2.63, 6 Co 2.67-2.68
Os: 0.0000 0.5000 0.5000  4 Co 2.54, 4 Pt 2.67, 2 Os 2.68
Pt: 0.5000 0.0000 0.5000  4 Co 2.63, 4 Os 2.67, 2 Pt 2.68

Entry 3:
A plane-wave DFT calculation with PBE was carried out for Sm5Ho2Sc after structural relaxation.

Properties
excess energy over the best structure of this formula in the dataset	0	meV/atom
DFT formation energy	0.0306	eV/atom
final energy	-0.1784	Ha/atom
symmetry	P1, No. 1
Fermi-level density of states	11.0	states/eV/f.u.
density	7.4	g/cm3

Unit cell a=6.1466 b=9.4039 c=9.4104 alpha=98.42 beta=102.39 gamma=102.36
With the nearest neighbours (Å) after each atom.
Element x y z (fractional)
Sm: 0.0000 0.0000 0.0000  2 Ho 3.50-3.59, 7 Sm 3.52-3.57, 3 Sc 3.54-3.55
Sm: 0.0007 0.2507 0.7514  1 Sc 3.52, 7 Sm 3.54-3.61, 4 Ho 3.54-3.60
Sm: 0.0033 0.7562 0.2501  5 Sm 3.51-3.56, 3 Sc 3.52-3.56, 4 Ho 3.53-3.56
Sm: 0.0041 0.5084 0.5019  1 Sc 3.51, 9 Sm 3.54-3.61, 2 Ho 3.54-3.58
Sm: 0.4975 0.1254 0.8764  7 Sm 3.51-3.58, 2 Sc 3.53-3.55, 3 Ho 3.56-3.60
Sm: 0.5007 0.2505 0.2496  7 Sm 3.53-3.61, 1 Sc 3.54, 4 Ho 3.57-3.60
Sm: 0.5031 0.3783 0.6271  9 Sm 3.55-3.61, 3 Ho 3.55-3.59
Sm: 0.5043 0.7565 0.7524  5 Sm 3.51-3.58, 4 Ho 3.53-3.57, 3 Sc 3.54-3.55
Sm: 0.5063 0.6324 0.3742  3 Ho 3.50-3.58, 2 Sc 3.51-3.54, 7 Sm 3.53-3.61
Sm: 0.9968 0.1248 0.3767  7 Sm 3.51-3.61, 2 Sc 3.53-3.55, 3 Ho 3.53-3.61
Ho: 0.0027 0.3801 0.1246  9 Sm 3.54-3.61, 3 Ho 3.55-3.56
Ho: 0.0081 0.6316 0.8768  7 Sm 3.50-3.59, 2 Sc 3.51-3.55, 3 Ho 3.53-3.57
Ho: 0.4996 0.9997 0.5006  9 Sm 3.50-3.58, 3 Sc 3.53-3.54
Ho: 0.5042 0.5073 0.0016  1 Sc 3.51, 4 Ho 3.53-3.57, 7 Sm 3.53-3.60
Sc: 0.0020 0.8791 0.6260  9 Sm 3.51-3.56, 3 Ho 3.53-3.55
Sc: 0.5002 0.8768 0.1261  9 Sm 3.51-3.55, 3 Ho 3.51-3.54

Entry 4:
A plane-wave DFT calculation with PBE was carried out for CdGa2BiO6 after structural relaxation.

Properties
final energy	-0.2011	Ha/atom
symmetry	C2/c, No. 15
Fermi-level density of states	2.4	states/eV/f.u.
density	6.6	g/cm3
energy relative to the elements, uncorrected	-1.412	eV per atom

Unit cell a=7.0857 b=7.0857 c=5.7330 alpha=98.79 beta=98.79 gamma=86.60
With the nearest neighbours (Å) after each atom.
Element x y z (fractional)
Cd: 0.1941 0.8059 0.7500  4 O 2.28-2.32
Cd: 0.8059 0.1941 0.2500  4 O 2.28-2.32
Ga: 0.1131 0.2809 0.7919  4 O 1.86-1.91
Ga: 0.2809 0.1131 0.2919  4 O 1.86-1.91
Ga: 0.7191 0.8869 0.7081  4 O 1.86-1.91
Ga: 0.8869 0.7191 0.2081  4 O 1.86-1.91
Bi: 0.3916 0.6084 0.2500  6 O 2.18-2.37
Bi: 0.6084 0.3916 0.7500  6 O 2.18-2.37
O: 0.0828 0.2095 0.0838  2 Ga 1.87
O: 0.1157 0.6401 0.3785  1 Ga 1.86
O: 0.2095 0.0828 0.5838  2 Ga 1.87
O: 0.3041 0.4696 0.8697  1 Ga 1.91
O: 0.3599 0.8843 0.1215  1 Ga 1.86
O: 0.4696 0.3041 0.3697  1 Ga 1.91
O: 0.5304 0.6959 0.6303  1 Ga 1.91
O: 0.6401 0.1157 0.8785  1 Ga 1.86
O: 0.6959 0.5304 0.1303  1 Ga 1.91
O: 0.7905 0.9172 0.4162  2 Ga 1.87
O: 0.8843 0.3599 0.6215  1 Ga 1.86
O: 0.9172 0.7905 0.9162  2 Ga 1.87

Entry 5:
A plane-wave DFT calculation with PBE was carried out for RuRh5 after structural relaxation.

Properties
excess energy over the best structure of this formula in the dataset	626	meV/atom
DFT formation energy	0.6368	eV/atom
final energy	-0.2585	Ha/atom
symmetry	P6/mmm, No. 191
Fermi-level density of states	7.8	states/eV/f.u.
density	10.7	g/cm3

Unit cell a=5.0274 b=5.0274 c=4.3850 alpha=90.00 beta=90.00 gamma=120.00
With the nearest neighbours (Å) after each atom.
Element x y z (fractional)
Ru: 0.0000 0.0000 0.0000  6 Rh 2.90
Rh: 0.0000 0.5000 0.5000  8 Rh 2.51-2.63
Rh: 0.3333 0.6667 0.0000  9 Rh 2.63-2.90, 3 Ru 2.90
Rh: 0.5000 0.0000 0.5000  8 Rh 2.51-2.63
Rh: 0.5000 0.5000 0.5000  8 Rh 2.51-2.63
Rh: 0.6667 0.3333 0.0000  9 Rh 2.63-2.90, 3 Ru 2.90

Entry 6:
A plane-wave DFT calculation with PBE was carried out for LiHoZrMo after structural relaxation.

Properties
DFT formation energy	0.1503	eV/atom
final energy	-0.2322	Ha/atom
symmetry	F-43m, No. 216
Fermi-level density of states	3.5	states/eV/f.u.
density	7.5	g/cm3

Unit cell a=4.8312 b=4.8312 c=4.8312 alpha=60.00 beta=60.00 gamma=60.00
With the nearest neighbours (Å) after each atom.
Element x y z (fractional)
Li: 0.0000 0.0000 0.0000  4 Zr 2.96, 4 Ho 2.96
Ho: 0.7500 0.7500 0.7500  4 Mo 2.96, 4 Li 2.96
Zr: 0.2500 0.2500 0.2500  4 Mo 2.96, 4 Li 2.96
Mo: 0.5000 0.5000 0.5000  4 Zr 2.96, 4 Ho 2.96

Entry 7:
A plane-wave DFT calculation with PBE was carried out for NaPm2ScSe4 after structural relaxation.

Properties
final energy	-0.2047	Ha/atom
symmetry	P2/m, No. 10
Fermi-level density of states	3.1	states/eV/f.u.
density	5.7	g/cm3
energy relative to the elements, uncorrected	-1.683	eV per atom

Unit cell a=7.0677 b=4.0971 c=7.1711 alpha=90.00 beta=109.17 gamma=90.00
With the nearest neighbours (Å) after each atom.
Element x y z (fractional)
Na: 0.0000 0.0000 0.0000  6 Se 2.87-2.89
Pm: 0.5000 0.0000 0.5000  6 Se 2.93-2.94
Pm: 0.5000 0.5000 0.0000  6 Se 3.00
Sc: 0.0000 0.5000 0.5000  6 Se 2.81-2.82
Se: 0.2308 0.0000 0.7374  2 Sc 2.82, 1 Na 2.87, 3 Pm 2.94-3.00
Se: 0.2387 0.5000 0.2551  1 Sc 2.81, 2 Na 2.89, 3 Pm 2.93-3.00
Se: 0.7613 0.5000 0.7449  1 Sc 2.81, 2 Na 2.89, 3 Pm 2.93-3.00
Se: 0.7692 0.0000 0.2626  2 Sc 2.82, 1 Na 2.87, 3 Pm 2.94-3.00

Entry 8:
A plane-wave DFT calculation with PBE was carried out for HfTaPbO6 after structural relaxation.

Properties
final energy	-0.3178	Ha/atom
symmetry	P-31c, No. 163
Fermi-level density of states	3.7	states/eV/f.u.
density	8.6	g/cm3
energy relative to the elements, uncorrected	-2.507	eV per atom

Unit cell a=5.4533 b=5.4533 c=9.8825 alpha=90.00 beta=90.00 gamma=120.00
With the nearest neighbours (Å) after each atom.
Element x y z (fractional)
Hf: 0.3333 0.6667 0.2500  6 O 2.08
Hf: 0.6667 0.3333 0.7500  6 O 2.08
Ta: 0.3333 0.6667 0.7500  6 O 2.01
Ta: 0.6667 0.3333 0.2500  6 O 2.01
Pb: 0.0000 0.0000 0.0000  6 O 2.43
Pb: 0.0000 0.0000 0.5000  6 O 2.43
O: 0.0108 0.3723 0.6402  1 Ta 2.01, 1 Hf 2.08
O: 0.0108 0.6385 0.8598  1 Ta 2.01, 1 Hf 2.08
O: 0.3615 0.3723 0.8598  1 Ta 2.01, 1 Hf 2.08
O: 0.3615 0.9892 0.6402  1 Ta 2.01, 1 Hf 2.08
O: 0.3723 0.0108 0.1402  1 Ta 2.01, 1 Hf 2.08
O: 0.3723 0.3615 0.3598  1 Ta 2.01, 1 Hf 2.08
O: 0.6277 0.6385 0.6402  1 Ta 2.01, 1 Hf 2.08
O: 0.6277 0.9892 0.8598  1 Ta 2.01, 1 Hf 2.08
O: 0.6385 0.0108 0.3598  1 Ta 2.01, 1 Hf 2.08
O: 0.6385 0.6277 0.1402  1 Ta 2.01, 1 Hf 2.08
O: 0.9892 0.3615 0.1402  1 Ta 2.01, 1 Hf 2.08
O: 0.9892 0.6277 0.3598  1 Ta 2.01, 1 Hf 2.08

Entry 9:
A plane-wave DFT calculation with PBE was carried out for Li4EuPd after structural relaxation.

Properties
DFT formation energy	-0.0962	eV/atom
final energy	-0.1452	Ha/atom
symmetry	F-43m, No. 216
Fermi-level density of states	10.8	states/eV/f.u.
density	4.1	g/cm3

Unit cell a=5.4659 b=5.4659 c=5.4659 alpha=60.00 beta=60.00 gamma=60.00
With the nearest neighbours (Å) after each atom.
Element x y z (fractional)
Li: 0.1220 0.1220 0.1220  6 Li 2.67-2.80
Li: 0.1220 0.1220 0.6340  6 Li 2.67-2.80
Li: 0.1220 0.6340 0.1220  6 Li 2.67-2.80
Li: 0.6340 0.1220 0.1220  6 Li 2.67-2.80
Eu: 0.5000 0.5000 0.5000  12 Li 3.21, 4 Pd 3.35
Pd: 0.7500 0.7500 0.7500  12 Li 3.20, 4 Eu 3.35

Entry 10:
A plane-wave DFT calculation with PBE was carried out for LiMoSe2N after structural relaxation.

Properties
excess energy over the best structure of this formula in the dataset	0	meV/atom
final energy	-0.2108	Ha/atom
symmetry	P4/mmm, No. 123
Fermi-level density of states	4.1	states/eV/f.u.
density	4.6	g/cm3
energy relative to the elements, uncorrected	-0.130	eV per atom

Unit cell a=5.0997 b=5.0997 c=3.8096 alpha=90.00 beta=90.00 gamma=90.00
With the nearest neighbours (Å) after each atom.
Element x y z (fractional)
Li: 0.0000 0.0000 0.0000  8 Se 3.18
Mo: 0.5000 0.5000 0.5000  2 N 1.90
Se: 0.0000 0.5000 0.5000  2 Mo 2.55
Se: 0.5000 0.0000 0.5000  2 Mo 2.55
N: 0.5000 0.5000 0.0000  2 Mo 1.90

Entry 11:
A plane-wave DFT calculation with PBE was carried out for Ba4PtN after structural relaxation.

Properties
excess energy over the best structure of this formula in the dataset	0	meV/atom
final energy	-0.1521	Ha/atom
symmetry	P-1, No. 2
Fermi-level density of states	3.1	states/eV/f.u.
density	5.0	g/cm3
energy relative to the elements, uncorrected	-0.463	eV per atom

Unit cell a=4.3309 b=7.6733 c=7.9327 alpha=81.03 beta=74.26 gamma=90.00
With the nearest neighbours (Å) after each atom.
Element x y z (fractional)
Ba: 0.1003 0.3804 0.2990  2 N 2.89, 1 Pt 3.07
Ba: 0.3928 0.1742 0.7160  1 N 2.76
Ba: 0.6072 0.8258 0.2840  1 N 2.76
Ba: 0.8997 0.6196 0.7010  2 N 2.89, 1 Pt 3.07
Pt: 0.0000 0.0000 0.5000  6 Ba 3.07-3.15
N: 0.5000 0.5000 0.5000  6 Ba 2.76-2.89

Entry 12:
A plane-wave DFT calculation with PBE was carried out for ScBe2MoBr after structural relaxation.

Properties
final energy	-0.1481	Ha/atom
symmetry	P4/mmm, No. 123
Fermi-level density of states	4.4	states/eV/f.u.
density	4.5	g/cm3
energy relative to the elements, uncorrected	1.228	eV per atom

Unit cell a=4.3283 b=4.3283 c=4.7471 alpha=90.00 beta=90.00 gamma=90.00
With the nearest neighbours (Å) after each atom.
Element x y z (fractional)
Sc: 0.0000 0.0000 0.0000  4 Mo 3.06, 8 Be 3.21
Be: 0.0000 0.5000 0.5000  2 Br 2.16
Be: 0.5000 0.0000 0.5000  2 Br 2.16
Mo: 0.5000 0.5000 0.0000  2 Br 2.37
Br: 0.5000 0.5000 0.5000  4 Be 2.16, 2 Mo 2.37

Entry 13:
A plane-wave DFT calculation with PBE was carried out for CoMo2RhN after structural relaxation.

Properties
final energy	-0.3308	Ha/atom
symmetry	P4/mmm, No. 123
Fermi-level density of states	6.2	states/eV/f.u.
density	9.6	g/cm3
energy relative to the elements, uncorrected	-0.112	eV per atom

Unit cell a=4.0859 b=4.0859 c=3.7992 alpha=90.00 beta=90.00 gamma=90.00
With the nearest neighbours (Å) after each atom.
Element x y z (fractional)
Co: 0.0000 0.0000 0.0000  2 N 1.90
Mo: 0.0000 0.5000 0.5000  2 N 2.04
Mo: 0.5000 0.0000 0.5000  2 N 2.04
Rh: 0.5000 0.5000 0.0000  8 Mo 2.79, 4 Co 2.89
N: 0.0000 0.0000 0.5000  2 Co 1.90, 4 Mo 2.04

Entry 14:
A plane-wave DFT calculation with PBE was carried out for Sm2Ho12Th5 after structural relaxation.

Properties
excess energy over the best structure of this formula in the dataset	0	meV/atom
DFT formation energy	0.1615	eV/atom
final energy	-0.1903	Ha/atom
symmetry	C2/m, No. 12
Fermi-level density of states	29.8	states/eV/f.u.
density	9.2	g/cm3

Unit cell a=11.4783 b=11.4783 c=8.6341 alpha=107.94 beta=107.94 gamma=35.35
With the nearest neighbours (Å) after each atom.
Element x y z (fractional)
Sm: 0.2459 0.7541 0.0000  6 Ho 3.38-3.60, 2 Sm 3.43-3.54, 2 Th 3.60
Sm: 0.7541 0.2459 0.0000  6 Ho 3.38-3.60, 2 Sm 3.43-3.54, 2 Th 3.60
Ho: 0.0471 0.0471 0.6897  3 Ho 3.26-3.62, 1 Th 3.49, 2 Sm 3.60
Ho: 0.0475 0.5513 0.2105  7 Ho 3.45-3.62, 4 Th 3.46-3.56
Ho: 0.1336 0.6489 0.6190  6 Ho 3.38-3.75, 1 Sm 3.38, 4 Th 3.39-3.41
Ho: 0.3496 0.3496 0.9200  3 Th 3.49-3.52, 6 Ho 3.51-3.54, 2 Sm 3.60
Ho: 0.3511 0.8664 0.3810  6 Ho 3.38-3.75, 1 Sm 3.38, 4 Th 3.39-3.41
Ho: 0.4487 0.9525 0.7895  7 Ho 3.45-3.62, 4 Th 3.46-3.56
Ho: 0.5513 0.0475 0.2105  7 Ho 3.45-3.62, 4 Th 3.46-3.56
Ho: 0.6489 0.1336 0.6190  6 Ho 3.38-3.75, 1 Sm 3.38, 4 Th 3.39-3.41
Ho: 0.6504 0.6504 0.0800  3 Th 3.49-3.52, 6 Ho 3.51-3.54, 2 Sm 3.60
Ho: 0.8664 0.3511 0.3810  6 Ho 3.38-3.75, 1 Sm 3.38, 4 Th 3.39-3.41
Ho: 0.9525 0.4487 0.7895  7 Ho 3.45-3.62, 4 Th 3.46-3.56
Ho: 0.9529 0.9529 0.3103  3 Ho 3.26-3.62, 1 Th 3.49, 2 Sm 3.60
Th: 0.1526 0.1526 0.0922  9 Ho 3.40-3.56, 1 Th 3.53, 2 Sm 3.60
Th: 0.2517 0.2517 0.5062  9 Ho 3.40-3.52, 3 Th 3.49-3.53
Th: 0.5000 0.5000 0.5000  4 Ho 3.39
Th: 0.7483 0.7483 0.4938  9 Ho 3.40-3.52, 3 Th 3.49-3.53
Th: 0.8474 0.8474 0.9078  9 Ho 3.40-3.56, 1 Th 3.53, 2 Sm 3.60

Entry 15:
A plane-wave DFT calculation with PBE was carried out for HfPa2Tc3 after structural relaxation.

Properties
excess energy over the best structure of this formula in the dataset	0	meV/atom
DFT formation energy	-0.3052	eV/atom
final energy	-0.3790	Ha/atom
symmetry	P-3m1, No. 164
Fermi-level density of states	4.9	states/eV/f.u.
density	13.3	g/cm3

Unit cell a=4.6564 b=4.6564 c=12.4507 alpha=90.00 beta=90.00 gamma=120.00
With the nearest neighbours (Å) after each atom.
Element x y z (fractional)
Hf: 0.3333 0.6667 0.1586  8 Tc 2.79-2.97
Hf: 0.6667 0.3333 0.8414  8 Tc 2.79-2.97
Pa: 0.0000 0.0000 0.0000  8 Tc 2.87-2.92
Pa: 0.0000 0.0000 0.5000  8 Tc 3.06-3.30
Pa: 0.3333 0.6667 0.6723  7 Tc 2.78-3.09
Pa: 0.6667 0.3333 0.3277  7 Tc 2.78-3.09
Tc: 0.0000 0.0000 0.2347  3 Hf 2.85, 4 Pa 2.92-2.93
Tc: 0.0000 0.0000 0.7653  3 Hf 2.85, 4 Pa 2.92-2.93
Tc: 0.3333 0.6667 0.3830  6 Pa 2.78-3.06, 1 Hf 2.79
Tc: 0.3333 0.6667 0.9203  4 Hf 2.86-2.97, 4 Pa 2.87-3.09
Tc: 0.6667 0.3333 0.0797  4 Hf 2.86-2.97, 4 Pa 2.87-3.09
Tc: 0.6667 0.3333 0.6170  6 Pa 2.78-3.06, 1 Hf 2.79

Entry 16:
A plane-wave DFT calculation with PBE was carried out for Ti2AlIn after structural relaxation.

Properties
DFT formation energy	0.1903	eV/atom
final energy	-0.1976	Ha/atom
symmetry	I-42d, No. 122
Fermi-level density of states	3.9	states/eV/f.u.
density	5.1	g/cm3

Unit cell a=5.9492 b=5.9492 c=5.9492 alpha=102.82 beta=102.82 gamma=123.80
With the nearest neighbours (Å) after each atom.
Element x y z (fractional)
Ti: 0.1156 0.6250 0.9906  2 Al 2.67, 2 In 2.76, 2 Ti 2.81
Ti: 0.3750 0.3656 0.4906  2 Al 2.67, 2 In 2.76, 2 Ti 2.81
Ti: 0.6344 0.1250 0.0094  2 Al 2.67, 2 In 2.76, 2 Ti 2.81
Ti: 0.8750 0.8844 0.5094  2 Al 2.67, 2 In 2.76, 2 Ti 2.81
Al: 0.0000 0.0000 0.0000  4 Ti 2.67, 2 In 2.80
Al: 0.7500 0.2500 0.5000  4 Ti 2.67, 2 In 2.80
In: 0.2500 0.7500 0.5000  4 Ti 2.76, 2 Al 2.80
In: 0.5000 0.5000 0.0000  4 Ti 2.76, 2 Al 2.80